No. 1
# AlOs2Ru

A relaxed AlOs2Ru crystal (PBE-GGA, the Alexandria database).

The space group is Pmmm, No. 47. The value obtained for the density is 14.87 Mg/m³.

a b c (Å): 2.7732 3.8779 5.2813
angles (deg): 90.00 90.00 90.00
Closest atoms and distances in Å follow each position.
Fractional positions:
Ru (0.5000, 0.5000, 0.2500)  2 Al 2.64, 8 Os 2.73, 2 Ru 2.77
Os (0.0000, 0.0000, 0.9975)  4 Os 2.61-2.77, 4 Al 2.72, 4 Ru 2.73
Os (0.0000, 0.0000, 0.5025)  4 Os 2.61-2.77, 4 Al 2.72, 4 Ru 2.73
Al (0.5000, 0.5000, 0.7500)  2 Ru 2.64, 8 Os 2.72, 2 Al 2.77

No. 2
# AlOs3Ru

A relaxed AlOs3Ru crystal (PBE-GGA, the Alexandria database).

The space group is Pm-3m, No. 221. The value obtained for the density is 14.14 Mg/m³. The offset from the most stable computed form is 0.00 eV per formula unit.

a b c (Å): 4.3456 4.3456 4.3456
angles (deg): 90.00 90.00 90.00
Closest atoms and distances in Å follow each position.
Fractional positions:
Ru (0.5000, 0.5000, 0.5000)  12 Os 3.07
Os (0.0000, 0.5000, 0.0000)  2 Al 2.17
Os (0.0000, 0.0000, 0.5000)  2 Al 2.17
Os (0.5000, 0.0000, 0.0000)  2 Al 2.17
Al (0.0000, 0.0000, 0.0000)  6 Os 2.17

No. 3
# AlOsRu

A relaxed AlOsRu crystal (PBE-GGA, the Alexandria database).

The space group is F-43m, No. 216. The value obtained for the density is 10.54 Mg/m³. The offset from the most stable computed form is 1.12 eV per formula unit.

a b c (Å): 4.1393 4.1393 4.1393
angles (deg): 60.00 60.00 60.00
Closest atoms and distances in Å follow each position.
Fractional positions:
Ru (0.0000, 0.0000, 0.0000)  4 Os 2.53
Os (0.7500, 0.7500, 0.7500)  4 Ru 2.53, 4 Al 2.53
Al (0.5000, 0.5000, 0.5000)  4 Os 2.53

No. 4
# AlOs2Ru

A relaxed AlOs2Ru crystal (PBE-GGA, the Alexandria database).

The space group is Immm, No. 71. The value obtained for the density is 15.00 Mg/m³.

a b c (Å): 5.1438 5.1438 5.1438
angles (deg): 147.31 129.36 61.59
Closest atoms and distances in Å follow each position.
Fractional positions:
Ru (0.7500, 0.2500, 0.5000)  4 Al 2.63, 4 Os 2.78, 2 Ru 2.90
Os (0.0191, 0.0191, 0.0000)  2 Al 2.50, 4 Os 2.65, 2 Ru 2.78
Os (0.4809, 0.4809, 0.0000)  2 Al 2.50, 4 Os 2.65, 2 Ru 2.78
Al (0.2500, 0.7500, 0.5000)  4 Os 2.50, 4 Ru 2.63

No. 5
# AlOs2Ru

A relaxed AlOs2Ru crystal (PBE-GGA, the Alexandria database).

The space group is Pm, No. 6. The value obtained for the density is 14.83 Mg/m³.

a b c (Å): 4.0656 2.7490 5.2742
angles (deg): 74.96 90.00 90.00
Closest atoms and distances in Å follow each position.
Fractional positions:
Ru (0.0000, 0.5431, 0.5384)  4 Al 2.62-2.63, 7 Os 2.65-2.94, 2 Ru 2.75
Os (0.0000, 0.8028, 0.0175)  2 Al 2.53, 3 Ru 2.65-2.80, 6 Os 2.67-2.75
Os (0.5000, 0.2006, 0.2220)  1 Al 2.55, 6 Os 2.67-2.75
Al (0.5000, 0.9534, 0.7220)  3 Os 2.53-2.55, 4 Ru 2.62-2.63, 2 Al 2.75

No. 6
# Al5Os4Ru

A relaxed Al5Os4Ru crystal (PBE-GGA, the Alexandria database).

The space group is P4/mmm, No. 123. The value obtained for the density is 12.09 Mg/m³.

a b c (Å): 3.0220 3.0220 14.9978
angles (deg): 90.00 90.00 90.00
Closest atoms and distances in Å follow each position.
Fractional positions:
Al (0.5000, 0.5000, 0.0989)  4 Ru 2.60, 4 Os 2.62
Al (0.5000, 0.5000, 0.2998)  8 Os 2.61
Al (0.5000, 0.5000, 0.5000)  8 Os 2.61
Al (0.5000, 0.5000, 0.7002)  8 Os 2.61
Al (0.5000, 0.5000, 0.9011)  4 Ru 2.60, 4 Os 2.62
Os (0.0000, 0.0000, 0.1997)  8 Al 2.61-2.62
Os (0.0000, 0.0000, 0.4002)  8 Al 2.61
Os (0.0000, 0.0000, 0.5998)  8 Al 2.61
Os (0.0000, 0.0000, 0.8003)  8 Al 2.61-2.62
Ru (0.0000, 0.0000, 0.0000)  8 Al 2.60

No. 7
# AlOsRu

A relaxed AlOsRu crystal (PBE-GGA, the Alexandria database).

The space group is Fmm2, No. 42. The value obtained for the density is 12.33 Mg/m³. The offset from the most stable computed form is 1.07 eV per formula unit.

a b c (Å): 6.8328 6.5909 2.7231
angles (deg): 83.33 73.35 23.32
Closest atoms and distances in Å follow each position.
Fractional positions:
Ru (0.6615, 0.6615, 0.3385)  2 Al 2.51, 2 Os 2.68, 4 Ru 2.72
Os (0.3370, 0.3370, 0.6630)  2 Al 2.56, 2 Ru 2.68, 4 Os 2.72
Al (0.0015, 0.0015, 0.9985)  2 Ru 2.51, 2 Os 2.56, 4 Al 2.72

No. 8
# AlOsRu4

A relaxed AlOsRu4 crystal (PBE-GGA, the Alexandria database).

The space group is F-43m, No. 216. The value obtained for the density is 11.47 Mg/m³.

a b c (Å): 5.0304 5.0304 5.0304
angles (deg): 60.00 60.00 60.00
Closest atoms and distances in Å follow each position.
Fractional positions:
Al (0.7500, 0.7500, 0.7500)  12 Ru 2.95, 4 Os 3.08
Os (0.0000, 0.0000, 0.0000)  12 Ru 2.95, 4 Al 3.08
Ru (0.8742, 0.3753, 0.3753)  6 Ru 2.51-2.52
Ru (0.3753, 0.3753, 0.8742)  6 Ru 2.51-2.52
Ru (0.3753, 0.8742, 0.3753)  6 Ru 2.51-2.52
Ru (0.3753, 0.3753, 0.3753)  6 Ru 2.51-2.52

No. 9
# AlOs2Ru

A relaxed AlOs2Ru crystal (PBE-GGA, the Alexandria database).

The space group is I-42d, No. 122. The value obtained for the density is 9.80 Mg/m³.

a b c (Å): 5.6612 5.6612 6.7041
angles (deg): 65.03 65.03 90.00
Closest atoms and distances in Å follow each position.
Fractional positions:
Ru (0.0000, 0.0000, 0.0000)  4 Os 2.36
Ru (0.7500, 0.2500, 0.5000)  4 Os 2.36
Os (0.6399, 0.1250, 0.2500)  2 Ru 2.36, 2 Al 2.46
Os (0.1101, 0.6250, 0.2500)  2 Ru 2.36, 2 Al 2.46
Os (0.3750, 0.3601, 0.7500)  2 Ru 2.36, 2 Al 2.46
Os (0.8750, 0.8899, 0.7500)  2 Ru 2.36, 2 Al 2.46
Al (0.5000, 0.5000, 0.0000)  4 Os 2.46
Al (0.2500, 0.7500, 0.5000)  4 Os 2.46

No. 10
# AlOs2Ru

A relaxed AlOs2Ru crystal (PBE-GGA, the Alexandria database).

The space group is F-43m, No. 216. The value obtained for the density is 14.80 Mg/m³.

a b c (Å): 4.3215 4.3215 4.3215
angles (deg): 60.00 60.00 60.00
Closest atoms and distances in Å follow each position.
Fractional positions:
Ru (0.2500, 0.2500, 0.2500)  4 Os 2.65, 4 Al 2.65
Os (0.0000, 0.0000, 0.0000)  4 Os 2.65, 4 Ru 2.65
Os (0.7500, 0.7500, 0.7500)  4 Os 2.65, 4 Al 2.65
Al (0.5000, 0.5000, 0.5000)  4 Ru 2.65, 4 Os 2.65

No. 11
# AlOsRu

A relaxed AlOsRu crystal (PBE-GGA, the Alexandria database).

The space group is I4mm, No. 107. The value obtained for the density is 12.42 Mg/m³. The offset from the most stable computed form is 0.00 eV per formula unit.

a b c (Å): 5.8420 5.8420 5.8420
angles (deg): 152.46 152.46 39.34
Closest atoms and distances in Å follow each position.
Fractional positions:
Ru (0.6712, 0.6712, 0.0000)  4 Os 2.62, 4 Al 2.72, 4 Ru 2.78
Os (0.3281, 0.3281, 0.0000)  4 Ru 2.62, 4 Al 2.73, 4 Os 2.78
Al (0.0007, 0.0007, 0.0000)  4 Ru 2.72, 4 Os 2.73, 4 Al 2.78

No. 12
# AlOsRu

A relaxed AlOsRu crystal (PBE-GGA, the Alexandria database).

The space group is Imm2, No. 44. The value obtained for the density is 12.52 Mg/m³. The offset from the most stable computed form is 0.27 eV per formula unit.

a b c (Å): 4.6207 4.6207 4.6207
angles (deg): 144.80 131.39 61.43
Closest atoms and distances in Å follow each position.
Fractional positions:
Ru (0.6668, 0.6668, 0.0000)  5 Al 2.65-2.71, 5 Os 2.65-2.71, 2 Ru 2.79
Os (0.3336, 0.3336, 0.0000)  5 Ru 2.65-2.71, 5 Al 2.65-2.70, 2 Os 2.79
Al (0.9998, 0.9998, 0.0000)  5 Ru 2.65-2.71, 5 Os 2.65-2.70, 2 Al 2.79

No. 13
# Al4OsRu3

A relaxed Al4OsRu3 crystal (PBE-GGA, the Alexandria database).

The space group is P4/mmm, No. 123. The value obtained for the density is 9.16 Mg/m³.

a b c (Å): 3.0091 3.0091 12.0362
angles (deg): 90.00 90.00 90.00
Closest atoms and distances in Å follow each position.
Fractional positions:
Ru (0.5000, 0.5000, 0.2503)  8 Al 2.60-2.61
Ru (0.5000, 0.5000, 0.5000)  8 Al 2.60
Ru (0.5000, 0.5000, 0.7497)  8 Al 2.60-2.61
Os (0.5000, 0.5000, 0.0000)  8 Al 2.61
Al (0.0000, 0.0000, 0.8739)  4 Ru 2.60, 4 Os 2.61
Al (0.0000, 0.0000, 0.1261)  4 Ru 2.60, 4 Os 2.61
Al (0.0000, 0.0000, 0.3754)  8 Ru 2.60-2.61
Al (0.0000, 0.0000, 0.6246)  8 Ru 2.60-2.61

No. 14
# AlOs2Ru

A relaxed AlOs2Ru crystal (PBE-GGA, the Alexandria database).

The space group is P2/m, No. 10. The value obtained for the density is 14.87 Mg/m³.

a b c (Å): 4.0912 2.7432 5.3082
angles (deg): 72.36 90.00 90.00
Closest atoms and distances in Å follow each position.
Fractional positions:
Ru (0.5000, 0.2500, 0.2500)  2 Al 2.59, 2 Ru 2.74, 8 Os 2.79
Os (0.0000, 0.9030, 0.9903)  2 Al 2.51, 4 Os 2.63-2.74, 4 Ru 2.79
Os (0.0000, 0.5970, 0.5097)  2 Al 2.51, 4 Os 2.63-2.74, 4 Ru 2.79
Al (0.5000, 0.7500, 0.7500)  4 Os 2.51, 2 Ru 2.59, 2 Al 2.74

No. 15
# AlOs2Ru

A relaxed AlOs2Ru crystal (PBE-GGA, the Alexandria database).

The space group is C2/m, No. 12. The value obtained for the density is 14.86 Mg/m³.

a b c (Å): 4.7319 4.7319 4.6064
angles (deg): 80.51 80.51 34.01
Closest atoms and distances in Å follow each position.
Fractional positions:
Ru (0.7500, 0.7500, 0.7500)  4 Al 2.69, 6 Os 2.69-2.76, 2 Ru 2.77
Os (0.0057, 0.0057, 0.0001)  3 Al 2.66-2.77, 6 Os 2.67-2.77, 3 Ru 2.69-2.76
Os (0.4943, 0.4943, 0.4999)  3 Al 2.66-2.77, 6 Os 2.67-2.77, 3 Ru 2.69-2.76
Al (0.2500, 0.2500, 0.2500)  6 Os 2.66-2.77, 4 Ru 2.69, 2 Al 2.77

no.,ΔE_f (eV per atom)
1,0.01
2,1.78
3,0.12
4,-0.04
5,-0.04
6,-0.44
7,0.10
8,0.50
9,1.31
10,0.11
11,-0.26
12,-0.17
13,-0.58
14,0.03
15,-0.06